No. 1
A relaxed AcPm2Zn crystal, computed with GGA-PBE.

The structure belongs to space group R3m (No. 160, hexagonal axes); the cell edges are 5.1488, 5.1488 and 17.7810 Å and the angles 90.00°, 90.00° and 120.00°. The inequivalent atoms are Ac at (0.0000, 0.0000, 0.0000), Pm at (0.0000, 0.0000, 0.5498), Pm at (0.0000, 0.0000, 0.7874) and Zn at (0.0000, 0.0000, 0.2001).

As for the crystal system: trigonal. The value obtained for the energy above the most stable polymorph in this dataset is 223 meV per atom. The value obtained for the formation energy is 0.09 eV/atom. As for the magnetic moment: 0.000 Bohr magnetons per cell.

---

No. 2
A relaxed AcPm2Zn crystal, computed with GGA-PBE.

The structure belongs to space group P4/mmm (No. 123); the cell edges are 4.938, 4.938 and 5.113 Å and the angles 90.00°, 90.00° and 90.00°. The inequivalent atoms are Ac at (0.000, 0.000, 0.000), Pm at (0.000, 0.500, 0.500) and Zn at (0.500, 0.500, 0.000).

As for the crystal system: tetragonal. The value obtained for the energy above the most stable polymorph in this dataset is 154 meV per atom. The value obtained for the formation energy is 0.02 eV/atom. As for the magnetic moment: 0.001 Bohr magnetons per cell.

---

No. 3
A relaxed AcPm5Zn4 crystal, computed with GGA-PBE.

The structure belongs to space group P4/mmm (No. 123); the cell edges are 3.696, 3.696 and 20.028 Å and the angles 90.00°, 90.00° and 90.00°. The inequivalent atoms are Ac at (0.000, 0.000, 0.000), Pm at (0.500, 0.500, 0.140), Pm at (0.500, 0.500, 0.320), Pm at (0.500, 0.500, 0.500), Zn at (0.000, 0.000, 0.229) and Zn at (0.000, 0.000, 0.409).

As for the crystal system: tetragonal. The value obtained for the formation energy is -0.24 eV/atom. As for the magnetic moment: 0.000 Bohr magnetons per cell.

---

No. 4
A relaxed AcPm3Zn8 crystal, computed with GGA-PBE.

The structure belongs to space group P3m1 (No. 156); the cell edges are 5.7342, 5.7342 and 8.8401 Å and the angles 90.00°, 90.00° and 120.00°. The inequivalent atoms are Ac at (0.0000, 0.0000, 0.0000), Pm at (0.0000, 0.0000, 0.4002), Pm at (0.6667, 0.3333, 0.5008), Pm at (0.6667, 0.3333, 0.8806), Zn at (0.1728, 0.3455, 0.6904), Zn at (0.3333, 0.6667, 0.4394), Zn at (0.3333, 0.6667, 0.9470) and Zn at (0.5019, 0.0038, 0.1996).

As for the crystal system: trigonal. The value obtained for the formation energy is -0.28 eV/atom. As for the magnetic moment: 0.000 Bohr magnetons per cell.

---

Number 1: theoretical density 7.11 g/cm3, Fermi-level density of states 18.2 states/eV per cell. Number 2: theoretical density 7.76 g/cm3, Fermi-level density of states 6.6 states/eV per cell. Number 3: theoretical density 7.37 g/cm3, Fermi-level density of states 13.1 states/eV per cell. Number 4: theoretical density 7.82 g/cm3, Fermi-level density of states 7.2 states/eV per cell.